First-principles (GGA-PBE) data for an optimized crystal structure of PmYPaO6, as listed in the Alexandria database.

a = 4.6877 Å, b = 5.8819 Å, c = 5.8819 Å
α = 120.00°, β = 90.00°, γ = 90.00°
Last column: nearest neighbours and their distance in Å.
Positions (direct):
Pa 0.0000 0.3333 0.6667  6 O 2.20
O 0.7468 0.3419 0.9856  1 Pa 2.20, 1 Y 2.29, 1 Pm 2.36
O 0.2532 0.6438 0.9856  1 Pa 2.20, 1 Y 2.29, 1 Pm 2.36
O 0.2532 0.0144 0.6581  1 Pa 2.20, 1 Y 2.29, 1 Pm 2.36
O 0.7468 0.6438 0.6581  1 Pa 2.20, 1 Y 2.29, 1 Pm 2.36
O 0.7468 0.0144 0.3562  1 Pa 2.20, 1 Y 2.29, 1 Pm 2.36
O 0.2532 0.3419 0.3562  1 Pa 2.20, 1 Y 2.29, 1 Pm 2.36
Pm 0.5000 0.0000 0.0000  6 O 2.36
Y 0.5000 0.6667 0.3333  6 O 2.29

Calculated values
- Electronic total energy: -78.9 eV/f.u.
- E_form (uncorrected): -3158.1 meV/atom